No. 1
The following is a DFT calculation (meta-GGA SCAN) of TlSnGeIr2 at its PBEsol-relaxed geometry.

Cell: 4.874 4.874 5.372 Å, 90.00 90.00 90.00°
Atoms (fractional coordinates):
Tl  0.000  0.000  0.500
Ge  0.500  0.500  0.500
Sn  0.000  0.000  0.000
Ir  0.000  0.500  0.000
Ir  0.500  0.000  0.000

Formation energy from the elements = 154.74 kJ per mole of atoms
Total magnetic moment = 0.000 μB per formula unit
Space group = P4/mmm, No. 123
Density = 10151 kg/m³

---

No. 2
The following is a DFT calculation (meta-GGA SCAN) of CdPb2 at its PBEsol-relaxed geometry.

Cell: 3.493 3.493 13.992 Å, 97.17 97.17 90.00°
Atoms (fractional coordinates):
Pb  0.427  0.427  0.855
Pb  0.823  0.323  0.645
Pb  0.573  0.573  0.145
Pb  0.677  0.177  0.355
Cd  0.250  0.750  0.500
Cd  0.000  0.000  0.000

Formation energy from the elements = 4.97 kJ per mole of atoms
Total magnetic moment = 0.000 μB per formula unit
Space group = I4_1/amd, No. 141
Density = 10411 kg/m³

---

No. 3
The following is a DFT calculation (meta-GGA SCAN) of BeAl2Cd at its PBEsol-relaxed geometry.

Cell: 2.681 3.610 6.695 Å, 90.00 90.00 90.00°
Atoms (fractional coordinates):
Be  0.500  0.500  0.000
Al  0.000  0.000  0.199
Al  0.000  0.000  0.801
Cd  0.500  0.500  0.500

Formation energy from the elements = 25.71 kJ per mole of atoms
Total magnetic moment = 0.067 μB per formula unit
Space group = Pmmm, No. 47
Density = 4495 kg/m³

---

No. 4
The following is a DFT calculation (meta-GGA SCAN) of LaBe2P at its PBEsol-relaxed geometry.

Cell: 3.765 3.779 5.440 Å, 110.33 90.00 119.88°
Atoms (fractional coordinates):
P  0.500  0.000  0.000
Be  0.200  0.401  0.098
Be  0.800  0.599  0.902
La  0.000  0.000  0.500

Formation energy from the elements = -26.15 kJ per mole of atoms
Total magnetic moment = 0.000 μB per formula unit
Space group = C2/m, No. 12
Density = 5075 kg/m³

---

No. 5
The following is a DFT calculation (meta-GGA SCAN) of HfMg2As2 at its PBEsol-relaxed geometry.

Cell: 3.831 7.096 7.096 Å, 90.00 90.00 90.00°
Atoms (fractional coordinates):
As  0.000  0.343  0.843
As  0.000  0.157  0.343
As  0.000  0.843  0.657
As  0.000  0.657  0.157
Hf  0.000  0.000  0.000
Hf  0.000  0.500  0.500
Mg  0.500  0.154  0.654
Mg  0.500  0.846  0.346
Mg  0.500  0.346  0.154
Mg  0.500  0.654  0.846

Formation energy from the elements = -53.35 kJ per mole of atoms
Total magnetic moment = 0.000 μB per formula unit
Space group = P4/mbm, No. 127
Density = 6489 kg/m³

---

No. 6
The following is a DFT calculation (meta-GGA SCAN) of TaSnSeBr2 at its PBEsol-relaxed geometry.

Cell: 4.984 5.090 5.090 Å, 90.00 90.00 90.00°
Each line ends with the local moment (μB).
Atoms (fractional coordinates):
Ta  0.000  0.000  0.000  0.84
Br  0.000  0.500  0.000  0.02
Br  0.000  0.000  0.500  0.02
Sn  0.500  0.500  0.500  0.42
Se  0.500  0.000  0.000  -0.05

Formation energy without anion corrections = 0.04 eV/atom
Total magnetic moment = 2.072 μB per formula unit
Space group = P4/mmm, No. 123
Density = 6925 kg/m³

---

No. 7
The following is a DFT calculation (meta-GGA SCAN) of V6Ga7 at its PBEsol-relaxed geometry.

Cell: 7.743 7.814 7.814 Å, 109.13 109.13 109.13°
Atoms (fractional coordinates):
Ga  0.662  0.644  0.385
Ga  0.634  0.000  0.637
Ga  0.735  0.352  0.012
Ga  0.370  0.645  0.645
Ga  0.348  0.745  0.013
Ga  0.269  0.607  0.256
Ga  0.634  0.637  0.000
Ga  0.662  0.385  0.644
Ga  0.269  0.256  0.607
Ga  0.026  0.364  0.736
Ga  0.026  0.736  0.364
Ga  0.735  0.012  0.352
Ga  0.614  0.267  0.267
Ga  0.348  0.013  0.745
V  0.351  0.005  0.345
V  0.020  0.664  0.664
V  0.005  0.350  0.350
V  0.351  0.345  0.005
V  0.203  0.002  0.002
V  0.991  0.658  0.998
V  0.989  0.991  0.205
V  0.780  0.785  0.785
V  0.656  0.992  0.992
V  0.989  0.205  0.991
V  0.991  0.998  0.658
V  0.341  0.343  0.343

Formation energy from the elements = -22.68 kJ per mole of atoms
Total magnetic moment = 0.001 μB per formula unit
Space group = Cm, No. 8
Density = 7154 kg/m³

---

No. 8
The following is a DFT calculation (meta-GGA SCAN) of NaSrMn3 at its PBEsol-relaxed geometry.

Cell: 5.020 5.020 5.020 Å, 90.00 90.00 90.00°
Each line ends with the local moment (μB).
Atoms (fractional coordinates):
Sr  0.500  0.500  0.500  -0.07
Mn  0.500  0.000  0.000  4.29
Mn  0.000  0.500  0.000  4.29
Mn  0.000  0.000  0.500  4.29
Na  0.000  0.000  0.000  -0.03

Formation energy from the elements = 87.44 kJ per mole of atoms
Total magnetic moment = 13.023 μB per formula unit
Space group = Pm-3m, No. 221
Density = 3616 kg/m³

---

No. 9
The following is a DFT calculation (meta-GGA SCAN) of ZnSi2Br at its PBEsol-relaxed geometry.

Cell: 2.599 5.175 6.062 Å, 115.27 90.00 90.00°
Atoms (fractional coordinates):
Si  0.000  0.000  0.500
Si  0.000  0.500  0.500
Zn  0.500  0.000  0.000
Br  0.500  0.500  0.000

Formation energy without anion corrections = 0.79 eV/atom
Total magnetic moment = 0.000 μB per formula unit
Space group = Cmmm, No. 65
Density = 4537 kg/m³

---

No. 10
The following is a DFT calculation (meta-GGA SCAN) of Ca3Ge3Bi2O12 at its PBEsol-relaxed geometry.

Cell: 11.217 11.217 11.217 Å, 109.47 109.47 109.47°
Atoms (fractional coordinates):
O  0.104  0.403  0.129
O  0.701  0.975  0.604
O  0.129  0.226  0.525
O  0.371  0.475  0.774
O  0.903  0.299  0.774
O  0.726  0.097  0.201
O  0.629  0.525  0.226
O  0.597  0.371  0.396
O  0.025  0.896  0.799
O  0.975  0.104  0.201
O  0.975  0.871  0.274
O  0.371  0.896  0.097
O  0.129  0.903  0.104
O  0.701  0.726  0.597
O  0.299  0.025  0.396
O  0.274  0.903  0.799
O  0.299  0.274  0.403
O  0.726  0.629  0.025
O  0.871  0.774  0.475
O  0.396  0.871  0.597
O  0.774  0.975  0.371
O  0.799  0.396  0.025
O  0.025  0.129  0.726
O  0.525  0.799  0.896
O  0.629  0.104  0.903
O  0.226  0.201  0.097
O  0.903  0.604  0.629
O  0.104  0.701  0.475
O  0.201  0.604  0.975
O  0.201  0.597  0.726
O  0.604  0.475  0.701
O  0.097  0.396  0.371
O  0.403  0.629  0.604
O  0.604  0.129  0.403
O  0.403  0.774  0.299
O  0.097  0.701  0.226
O  0.274  0.371  0.975
O  0.896  0.299  0.525
O  0.475  0.201  0.104
O  0.799  0.403  0.274
O  0.475  0.274  0.871
O  0.396  0.525  0.299
O  0.774  0.799  0.903
O  0.597  0.226  0.701
O  0.896  0.597  0.871
O  0.871  0.097  0.896
O  0.525  0.726  0.129
O  0.226  0.025  0.629
Ge  0.875  0.125  0.750
Ge  0.750  0.125  0.375
Ge  0.750  0.625  0.875
Ge  0.625  0.250  0.875
Ge  0.250  0.875  0.625
Ge  0.250  0.375  0.125
Ge  0.125  0.250  0.375
Ge  0.625  0.375  0.250
Ge  0.375  0.625  0.750
Ge  0.375  0.750  0.125
Ge  0.125  0.875  0.250
Ge  0.875  0.750  0.625
Ca  0.875  0.625  0.250
Ca  0.250  0.125  0.875
Ca  0.125  0.375  0.750
Ca  0.125  0.750  0.875
Ca  0.750  0.375  0.625
Ca  0.625  0.875  0.750
Ca  0.375  0.125  0.250
Ca  0.625  0.750  0.375
Ca  0.375  0.250  0.625
Ca  0.250  0.625  0.375
Ca  0.875  0.250  0.125
Ca  0.750  0.875  0.125
Bi  0.000  0.500  0.500
Bi  0.500  0.500  0.000
Bi  0.500  0.000  0.500
Bi  0.500  0.000  0.000
Bi  0.500  0.500  0.500
Bi  0.000  0.500  0.000
Bi  0.000  0.000  0.500
Bi  0.000  0.000  0.000

Formation energy without anion corrections = -2.17 eV/atom
Total magnetic moment = 0.000 μB per formula unit
Space group = Ia-3d, No. 230
Density = 5797 kg/m³

---

No. 11
The following is a DFT calculation (meta-GGA SCAN) of KTaAg at its PBEsol-relaxed geometry.

Cell: 2.904 2.904 8.171 Å, 100.23 100.23 90.00°
Atoms (fractional coordinates):
Ag  0.984  0.984  0.967
Ta  0.359  0.359  0.717
K  0.658  0.658  0.315

Formation energy from the elements = 82.01 kJ per mole of atoms
Total magnetic moment = 0.000 μB per formula unit
Space group = I4mm, No. 107
Density = 8166 kg/m³

---

No. 12
The following is a DFT calculation (meta-GGA SCAN) of ZrCo4Br at its PBEsol-relaxed geometry.

Cell: 4.844 4.844 4.844 Å, 60.00 60.00 60.00°
Each line ends with the local moment (μB).
Atoms (fractional coordinates):
Co  0.128  0.624  0.624  1.47
Co  0.624  0.128  0.624  1.47
Co  0.624  0.624  0.624  1.47
Co  0.624  0.624  0.128  1.47
Br  0.000  0.000  0.000  0.10
Zr  0.250  0.250  0.250  -0.57

Formation energy without anion corrections = 0.28 eV/atom
Total magnetic moment = 5.012 μB per formula unit
Space group = F-43m, No. 216
Density = 8407 kg/m³